No. 1
CsCdGaHPt (PBE, optimized geometry); uncorrected energy = -0.113 hartree per atom; excess energy over the best structure of this formula in the dataset = 0.0514 eV/atom; space group = P1 (1)
1.0
4.676 -0.002 0.004
-2.335 4.052 -0.004
-0.016 -2.677 6.604
Cd H Cs Ga Pt
1 1 1 1 1
Cartesian
4.138 -1.088 3.423
-0.538 1.616 5.821
-0.527 1.593 0.468
-0.536 1.615 4.157
1.801 0.264 3.686


No. 2
CsCdGaHPt (PBE, optimized geometry); uncorrected energy = -0.110 hartree per atom; excess energy over the best structure of this formula in the dataset = 0.1191 eV/atom; space group = Cm (8)
1.0
5.612 0.000 -0.031
0.000 4.140 0.000
-4.626 0.000 12.618
Pt Cs H Ga Cd
2 2 2 2 2
Cartesian
-1.355 0.000 5.472
-3.668 2.070 11.781
-0.228 2.070 8.485
2.085 0.000 2.176
-2.130 0.000 6.925
0.182 2.070 0.617
-0.240 2.070 4.748
-2.553 0.000 11.057
0.098 0.000 11.691
2.411 2.070 5.382


| no. | ρ (g cm⁻³) |
| --- | --- |
| 1 | 6.8 |
| 2 | 5.8 |